DFT (PBE-GGA) results for a relaxed structure of Sm3YGa2.

POSCAR file:
```
Sm3YGa2
1.0
8.727 -2.270 0.000
8.727 2.270 0.000
-3.806 0.000 8.430
Sm Y Ga
6 2 4
Direct
0.044 0.044 0.190
0.319 0.319 0.573
0.349 0.349 0.022
0.651 0.651 0.978
0.681 0.681 0.427
0.956 0.956 0.810
0.118 0.118 0.640
0.882 0.882 0.360
0.233 0.233 0.214
0.497 0.497 0.358
0.503 0.503 0.642
0.767 0.767 0.786
```

Values from the calculation:
**D(E_F)**: 11.30 states/eV per cell
**Calculated formation energy**: -33.33 kJ/mol of atoms
**M_tot**: 0.00 μB per formula unit
**Polymorph energy (0 for the lowest one)**: 0.403 eV per formula unit
**E_tot**: -4.7914 eV/atom
**Space group**: No. 12

DFT (PBE-GGA) results for a relaxed structure of Sm2YGa3.

POSCAR file:
```
Sm2YGa3
1.0
5.121 0.000 0.000
-2.561 4.435 0.000
0.000 0.000 12.600
Sm Y Ga
4 2 6
Direct
0.000 0.000 0.000
0.000 0.000 0.500
0.333 0.667 0.169
0.667 0.333 0.831
0.333 0.667 0.667
0.667 0.333 0.333
0.000 0.000 0.252
0.000 0.000 0.748
0.333 0.667 0.418
0.333 0.667 0.916
0.667 0.333 0.084
0.667 0.333 0.582
```

Values from the calculation:
**D(E_F)**: 5.04 states/eV per cell
**Calculated formation energy**: -56.16 kJ/mol of atoms
**M_tot**: 0.00 μB per formula unit
**E_tot**: -4.7459 eV/atom
**Space group**: No. 164